[1]
# Be2InTc, relaxed, DFT GGA-PBE
# Uncorrected energy   -4.637 eV/atom
data_Be2InTc
_space_group_name_H-M_alt 'F -4 3 m'
_space_group_IT_number 216
_space_group_name_Hall 'F -4 2 3'
_cell_length_a 6.040
_cell_length_b 6.040
_cell_length_c 6.040
_cell_angle_alpha 90.00
_cell_angle_beta 90.00
_cell_angle_gamma 90.00
loop_
_atom_site_label
_atom_site_fract_x
_atom_site_fract_y
_atom_site_fract_z
_atom_site_occupancy
Be1 0.000 0.000 0.000 1
Be2 0.250 0.250 0.250 1
In1 0.000 0.000 0.500 1
Tc1 0.250 0.250 0.750 1

=====

[2]
# BeInTcW, relaxed, DFT GGA-PBE
# Uncorrected energy   -7.150 eV/atom
# Offset from the most stable computed form   0 kJ/mol of formula units
data_BeInTcW
_space_group_name_H-M_alt 'F -4 3 m'
_space_group_IT_number 216
_space_group_name_Hall 'F -4 2 3'
_cell_length_a 6.231
_cell_length_b 6.231
_cell_length_c 6.231
_cell_angle_alpha 90.00
_cell_angle_beta 90.00
_cell_angle_gamma 90.00
loop_
_atom_site_label
_atom_site_fract_x
_atom_site_fract_y
_atom_site_fract_z
_atom_site_occupancy
Be1 0.000 0.000 0.000 1
In1 0.250 0.250 0.250 1
Tc1 0.000 0.000 0.500 1
W1 0.250 0.250 0.750 1

=====

[3]
# BeInTcW, relaxed, DFT GGA-PBE
# Uncorrected energy   -6.756 eV/atom
# Offset from the most stable computed form   152 kJ/mol of formula units
data_BeInTcW
_space_group_name_H-M_alt 'F -4 3 m'
_space_group_IT_number 216
_space_group_name_Hall 'F -4 2 3'
_cell_length_a 6.234
_cell_length_b 6.234
_cell_length_c 6.234
_cell_angle_alpha 90.00
_cell_angle_beta 90.00
_cell_angle_gamma 90.00
loop_
_atom_site_label
_atom_site_fract_x
_atom_site_fract_y
_atom_site_fract_z
_atom_site_occupancy
Be1 0.000 0.000 0.000 1
In1 0.000 0.000 0.500 1
Tc1 0.250 0.250 0.250 1
W1 0.250 0.250 0.750 1

=====

[4]
# ThBeIn, relaxed, DFT GGA-PBE
# Uncorrected energy   -4.644 eV/atom
# Offset from the most stable computed form   0 kJ/mol of formula units
data_ThBeIn
_space_group_name_H-M_alt 'F -4 3 m'
_space_group_IT_number 216
_space_group_name_Hall 'F -4 2 3'
_cell_length_a 6.647
_cell_length_b 6.647
_cell_length_c 6.647
_cell_angle_alpha 90.00
_cell_angle_beta 90.00
_cell_angle_gamma 90.00
loop_
_atom_site_label
_atom_site_fract_x
_atom_site_fract_y
_atom_site_fract_z
_atom_site_occupancy
Th1 0.000 0.000 0.000 1
Be1 0.250 0.250 0.750 1
In1 0.000 0.000 0.500 1

=====

[5]
# ThBeIn, relaxed, DFT GGA-PBE
# Uncorrected energy   -4.099 eV/atom
# Offset from the most stable computed form   158 kJ/mol of formula units
data_ThBeIn
_space_group_name_H-M_alt 'F -4 3 m'
_space_group_IT_number 216
_space_group_name_Hall 'F -4 2 3'
_cell_length_a 6.973
_cell_length_b 6.973
_cell_length_c 6.973
_cell_angle_alpha 90.00
_cell_angle_beta 90.00
_cell_angle_gamma 90.00
loop_
_atom_site_label
_atom_site_fract_x
_atom_site_fract_y
_atom_site_fract_z
_atom_site_occupancy
Th1 0.000 0.000 0.000 1
Be1 0.000 0.000 0.500 1
In1 0.250 0.250 0.750 1

=====

[6]
# ThBeIn, relaxed, DFT GGA-PBE
# Uncorrected energy   -3.884 eV/atom
# Offset from the most stable computed form   220 kJ/mol of formula units
data_ThBeIn
_space_group_name_H-M_alt 'F -4 3 m'
_space_group_IT_number 216
_space_group_name_Hall 'F -4 2 3'
_cell_length_a 7.031
_cell_length_b 7.031
_cell_length_c 7.031
_cell_angle_alpha 90.00
_cell_angle_beta 90.00
_cell_angle_gamma 90.00
loop_
_atom_site_label
_atom_site_fract_x
_atom_site_fract_y
_atom_site_fract_z
_atom_site_occupancy
Th1 0.000 0.000 0.000 1
Be1 0.250 0.250 0.750 1
In1 0.250 0.250 0.250 1

=====

[7]
# UBeIn, relaxed, DFT GGA-PBE
# Uncorrected energy   -4.895 eV/atom
# Offset from the most stable computed form   158 kJ/mol of formula units
data_UBeIn
_space_group_name_H-M_alt 'F -4 3 m'
_space_group_IT_number 216
_space_group_name_Hall 'F -4 2 3'
_cell_length_a 6.724
_cell_length_b 6.724
_cell_length_c 6.724
_cell_angle_alpha 90.00
_cell_angle_beta 90.00
_cell_angle_gamma 90.00
loop_
_atom_site_label
_atom_site_fract_x
_atom_site_fract_y
_atom_site_fract_z
_atom_site_occupancy
U1 0.000 0.000 0.000 1
Be1 0.000 0.000 0.500 1
In1 0.250 0.250 0.750 1

=====

[8]
# UBeIn, relaxed, DFT GGA-PBE
# Uncorrected energy   -5.442 eV/atom
# Offset from the most stable computed form   0 kJ/mol of formula units
data_UBeIn
_space_group_name_H-M_alt 'F -4 3 m'
_space_group_IT_number 216
_space_group_name_Hall 'F -4 2 3'
_cell_length_a 6.377
_cell_length_b 6.377
_cell_length_c 6.377
_cell_angle_alpha 90.00
_cell_angle_beta 90.00
_cell_angle_gamma 90.00
loop_
_atom_site_label
_atom_site_fract_x
_atom_site_fract_y
_atom_site_fract_z
_atom_site_occupancy
U1 0.000 0.000 0.000 1
Be1 0.250 0.250 0.750 1
In1 0.000 0.000 0.500 1

=====

[9]
# BeInW, relaxed, DFT GGA-PBE
# Uncorrected energy   -5.104 eV/atom
# Offset from the most stable computed form   0 kJ/mol of formula units
data_BeInW
_space_group_name_H-M_alt 'F -4 3 m'
_space_group_IT_number 216
_space_group_name_Hall 'F -4 2 3'
_cell_length_a 6.184
_cell_length_b 6.184
_cell_length_c 6.184
_cell_angle_alpha 90.00
_cell_angle_beta 90.00
_cell_angle_gamma 90.00
loop_
_atom_site_label
_atom_site_fract_x
_atom_site_fract_y
_atom_site_fract_z
_atom_site_occupancy
Be1 0.000 0.000 0.000 1
In1 0.000 0.000 0.500 1
W1 0.250 0.250 0.250 1

=====

[10]
# BeInW, relaxed, DFT GGA-PBE
# Uncorrected energy   -4.955 eV/atom
# Offset from the most stable computed form   43 kJ/mol of formula units
data_BeInW
_space_group_name_H-M_alt 'F -4 3 m'
_space_group_IT_number 216
_space_group_name_Hall 'F -4 2 3'
_cell_length_a 6.171
_cell_length_b 6.171
_cell_length_c 6.171
_cell_angle_alpha 90.00
_cell_angle_beta 90.00
_cell_angle_gamma 90.00
loop_
_atom_site_label
_atom_site_fract_x
_atom_site_fract_y
_atom_site_fract_z
_atom_site_occupancy
Be1 0.000 0.000 0.000 1
In1 0.250 0.250 0.250 1
W1 0.000 0.000 0.500 1

=====

[11]
# BeZn2In, relaxed, DFT GGA-PBE
# Uncorrected energy   -1.841 eV/atom
data_BeZn2In
_space_group_name_H-M_alt 'F -4 3 m'
_space_group_IT_number 216
_space_group_name_Hall 'F -4 2 3'
_cell_length_a 6.399
_cell_length_b 6.399
_cell_length_c 6.399
_cell_angle_alpha 90.00
_cell_angle_beta 90.00
_cell_angle_gamma 90.00
loop_
_atom_site_label
_atom_site_fract_x
_atom_site_fract_y
_atom_site_fract_z
_atom_site_occupancy
Be1 0.000 0.000 0.000 1
Zn1 0.000 0.000 0.500 1
Zn2 0.250 0.250 0.250 1
In1 0.250 0.250 0.750 1

=====

[12]
# Be2ZnIn, relaxed, DFT GGA-PBE
# Uncorrected energy   -2.235 eV/atom
data_Be2ZnIn
_space_group_name_H-M_alt 'F -4 3 m'
_space_group_IT_number 216
_space_group_name_Hall 'F -4 2 3'
_cell_length_a 6.190
_cell_length_b 6.190
_cell_length_c 6.190
_cell_angle_alpha 90.00
_cell_angle_beta 90.00
_cell_angle_gamma 90.00
loop_
_atom_site_label
_atom_site_fract_x
_atom_site_fract_y
_atom_site_fract_z
_atom_site_occupancy
Be1 0.000 0.000 0.000 1
Be2 0.250 0.250 0.250 1
Zn1 0.250 0.250 0.750 1
In1 0.000 0.000 0.500 1

=====

What is the formula in the ninth record? BeInW